The following is a PBE calculation of a geometry-optimized Er4Ni2Pb5 structure, from Alexandria.

Unit cell a=8.114 b=3.578 c=9.615 alpha=90.00 beta=94.97 gamma=90.00
Fractional positions:
Er 0.193 0.000 0.435
Er 0.196 0.000 0.833
Er 0.804 0.000 0.167
Er 0.807 0.000 0.565
Ni 0.073 0.500 0.626
Ni 0.927 0.500 0.374
Pb 0.141 0.500 0.137
Pb 0.462 0.500 0.662
Pb 0.500 0.500 0.000
Pb 0.538 0.500 0.338
Pb 0.859 0.500 0.863

Summary:
**DOS at the Fermi energy**: 5.77 states/eV per cell
**Formation energy from the elements**: -408 meV/atom
**Symmetry**: No. 10

=====

The following is a PBE calculation of a geometry-optimized Dy6Tl2Pt structure, from Alexandria.

Unit cell a=3.840 b=8.701 c=8.701 alpha=119.95 beta=90.00 gamma=90.00
Fractional positions:
Dy 0.000 0.000 0.000
Dy 0.000 0.512 0.755
Dy 0.000 0.755 0.512
Dy 0.500 0.151 0.756
Dy 0.500 0.360 0.360
Dy 0.500 0.756 0.151
Tl 0.000 0.089 0.422
Tl 0.000 0.422 0.089
Pt 0.500 0.756 0.756

Summary:
**DOS at the Fermi energy**: 11.38 states/eV per cell
**Formation energy from the elements**: -481 meV/atom
**Excess energy over the best structure of this formula in the dataset**: 0 meV per atom
**Symmetry**: No. 38

=====

The following is a PBE calculation of a geometry-optimized MgNbSi3 structure, from Alexandria.

Unit cell a=4.886 b=4.886 c=4.886 alpha=90.00 beta=90.00 gamma=90.00
Fractional positions:
Mg 0.000 0.000 0.000
Nb 0.500 0.500 0.500
Si 0.000 0.500 0.500
Si 0.500 0.000 0.500
Si 0.500 0.500 0.000

Summary:
**DOS at the Fermi energy**: 4.70 states/eV per cell
**Excess energy over the best structure of this formula in the dataset**: 0 meV per atom
**Symmetry**: No. 221
**Formation energy without anion corrections**: 0.551 eV/atom

=====

The following is a PBE calculation of a geometry-optimized TiRhI2N structure, from Alexandria.

Unit cell a=5.618 b=5.618 c=3.689 alpha=90.00 beta=90.00 gamma=90.00
Fractional positions:
Ti 0.000 0.000 0.000
Rh 0.500 0.500 0.500
I 0.000 0.500 0.500
I 0.500 0.000 0.500
N 0.500 0.500 0.000

Summary:
**DOS at the Fermi energy**: 8.13 states/eV per cell
**Excess energy over the best structure of this formula in the dataset**: 248 meV per atom
**Symmetry**: No. 123
**Formation energy without anion corrections**: 0.608 eV/atom

=====

The following is a PBE calculation of a geometry-optimized Dy2HoAl2Ga2 structure, from Alexandria.

Unit cell a=10.908 b=10.908 c=10.908 alpha=22.51 beta=22.51 gamma=22.51
Fractional positions:
Dy 0.125 0.125 0.125
Dy 0.875 0.875 0.875
Ho 0.000 0.000 0.000
Al 0.392 0.392 0.392
Al 0.608 0.608 0.608
Ga 0.262 0.262 0.262
Ga 0.738 0.738 0.738

Summary:
**DOS at the Fermi energy**: 5.45 states/eV per cell
**Formation energy from the elements**: -381 meV/atom
**Symmetry**: No. 166

=====

The following is a PBE calculation of a geometry-optimized CuSeO4 structure, from Alexandria.

Unit cell a=8.945 b=6.829 c=5.100 alpha=90.00 beta=90.00 gamma=90.00
Fractional positions:
Cu 0.000 0.000 0.000
Cu 0.000 0.500 0.000
Cu 0.500 0.000 0.500
Cu 0.500 0.500 0.500
Se 0.183 0.250 0.448
Se 0.317 0.750 0.948
Se 0.683 0.250 0.052
Se 0.817 0.750 0.552
O 0.122 0.750 0.918
O 0.126 0.250 0.757
O 0.131 0.042 0.298
O 0.131 0.458 0.298
O 0.369 0.542 0.798
O 0.369 0.958 0.798
O 0.374 0.750 0.257
O 0.378 0.250 0.418
O 0.622 0.750 0.582
O 0.626 0.250 0.743
O 0.631 0.042 0.202
O 0.631 0.458 0.202
O 0.869 0.542 0.702
O 0.869 0.958 0.702
O 0.874 0.750 0.243
O 0.878 0.250 0.082

Summary:
**DOS at the Fermi energy**: 5.18 states/eV per cell
**Symmetry**: No. 62
**Formation energy without anion corrections**: -0.537 eV/atom

=====

The following is a PBE calculation of a geometry-optimized Hf2Ta2Tc structure, from Alexandria.

Unit cell a=3.350 b=3.350 c=16.688 alpha=90.00 beta=90.00 gamma=90.00
Fractional positions:
Hf 0.000 0.000 0.094
Hf 0.000 0.000 0.906
Hf 0.500 0.500 0.406
Hf 0.500 0.500 0.594
Ta 0.000 0.000 0.292
Ta 0.000 0.000 0.708
Ta 0.500 0.500 0.208
Ta 0.500 0.500 0.792
Tc 0.000 0.000 0.500
Tc 0.500 0.500 0.000

Summary:
**DOS at the Fermi energy**: 10.62 states/eV per cell
**Formation energy from the elements**: -162 meV/atom
**Excess energy over the best structure of this formula in the dataset**: 0 meV per atom
**Symmetry**: No. 139

=====

The following is a PBE calculation of a geometry-optimized CaLu2Zn structure, from Alexandria.

Unit cell a=3.541 b=3.541 c=8.996 alpha=90.00 beta=90.00 gamma=90.00
Fractional positions:
Ca 0.000 0.000 0.000
Lu 0.500 0.500 0.314
Lu 0.500 0.500 0.686
Zn 0.000 0.000 0.500

Summary:
**DOS at the Fermi energy**: 5.49 states/eV per cell
**Formation energy from the elements**: -100 meV/atom
**Excess energy over the best structure of this formula in the dataset**: 0 meV per atom
**Symmetry**: No. 123